Compound: Pm4Sc
Source: the Alexandria database
Functional: PBE
Structure: optimized geometry

Unit cell a=3.6027 b=3.6027 c=12.7029 alpha=98.15 beta=98.15 gamma=90.00
Last column: nearest neighbours and their distance in Å.
Fractional coordinates of all 5 atoms:
Pm 0.8027 0.8027 0.6054  12 Pm 3.60-3.66
Pm 0.4071 0.4071 0.8142  4 Sc 3.44, 8 Pm 3.60-3.64
Pm 0.1973 0.1973 0.3946  12 Pm 3.60-3.66
Pm 0.5929 0.5929 0.1858  4 Sc 3.44, 8 Pm 3.60-3.64
Sc 0.0000 0.0000 0.0000  8 Pm 3.44, 4 Sc 3.60

Computed properties:
The calculation puts the total energy at -25.1 eV for the cell shown. The calculation puts the energy above the most stable polymorph in this dataset at 0 meV per atom. The total moment is 0.00 μB per formula unit. Its energy of formation is 0.038 eV/atom. Its space-group type is I4/mmm.